! PBE LiVOsPt, relaxed; values from VASP
&SYSTEM
  ibrav = 0, nat = 4, ntyp = 4
/
ATOMIC_SPECIES
Li 6.94 Li.upf
V 50.94 V.upf
Os 190.23 Os.upf
Pt 195.08 Pt.upf
CELL_PARAMETERS angstrom
0.0000 2.9830 2.9830
2.9830 0.0000 2.9830
2.9830 2.9830 0.0000
ATOMIC_POSITIONS angstrom
Li 0.0000 0.0000 0.0000
V 2.9830 2.9830 2.9830
Os 1.4915 1.4915 1.4915
Pt 4.4746 4.4746 4.4746
! ΔE_f: -0.314 eV/atom
! density of states at the Fermi level: 0.7 states/eV/f.u.
! electronic total energy: -7.390 eV per atom
! crystal system: cubic
! spin magnetization: 0.0 μB/f.u.

---

! PBE LiZn2OsPt, relaxed; values from VASP
&SYSTEM
  ibrav = 0, nat = 5, ntyp = 4
/
ATOMIC_SPECIES
Li 6.94 Li.upf
Zn 65.41 Zn.upf
Os 190.23 Os.upf
Pt 195.08 Pt.upf
CELL_PARAMETERS angstrom
4.8506 0.0000 0.0000
0.0000 4.8506 0.0000
0.0000 0.0000 4.8005
ATOMIC_POSITIONS angstrom
Li 0.0000 0.0000 0.0000
Zn 0.0000 2.4253 2.4003
Zn 2.4253 0.0000 2.4003
Os 2.4253 2.4253 2.4003
Pt 2.4253 2.4253 0.0000
! ΔE_f: 0.471 eV/atom
! density of states at the Fermi level: 1.8 states/eV/f.u.
! electronic total energy: -3.875 eV per atom
! crystal system: tetragonal
! spin magnetization: 0.0 μB/f.u.

---

! PBE LiPu2Os, relaxed; values from VASP
&SYSTEM
  ibrav = 0, nat = 4, ntyp = 3
/
ATOMIC_SPECIES
Li 6.94 Li.upf
Pu 244.00 Pu.upf
Os 190.23 Os.upf
CELL_PARAMETERS angstrom
3.2224 0.0000 0.0000
0.0000 3.2224 0.0000
0.0000 0.0000 8.7867
ATOMIC_POSITIONS angstrom
Li 0.0000 0.0000 0.0000
Pu 1.6112 1.6112 2.5981
Pu 1.6112 1.6112 6.1886
Os 0.0000 0.0000 4.3933
! ΔE_f: 0.061 eV/atom
! density of states at the Fermi level: 10.8 states/eV/f.u.
! electronic total energy: -10.391 eV per atom
! crystal system: tetragonal
! spin magnetization: 10.9 μB/f.u.

---

! PBE LiPu2Os, relaxed; values from VASP
&SYSTEM
  ibrav = 0, nat = 4, ntyp = 3
/
ATOMIC_SPECIES
Li 6.94 Li.upf
Pu 244.00 Pu.upf
Os 190.23 Os.upf
CELL_PARAMETERS angstrom
1.4578 0.8416 10.9213
-1.4578 0.8416 10.9213
0.0000 -1.6833 10.9213
ATOMIC_POSITIONS angstrom
Li 0.0000 0.0000 0.0000
Pu 0.0000 0.0000 3.0449
Pu 0.0000 0.0000 29.7190
Os 0.0000 0.0000 16.3820
! ΔE_f: 0.378 eV/atom
! density of states at the Fermi level: 10.9 states/eV/f.u.
! electronic total energy: -10.074 eV per atom
! crystal system: trigonal
! spin magnetization: 9.3 μB/f.u.

---

! PBE LiPu2Os, relaxed; values from VASP
&SYSTEM
  ibrav = 0, nat = 4, ntyp = 3
/
ATOMIC_SPECIES
Li 6.94 Li.upf
Pu 244.00 Pu.upf
Os 190.23 Os.upf
CELL_PARAMETERS angstrom
4.5700 0.0000 0.0000
0.0000 4.5700 0.0000
0.0000 0.0000 3.7987
ATOMIC_POSITIONS angstrom
Li 0.0000 0.0000 0.0000
Pu 0.0000 2.2850 1.8994
Pu 2.2850 0.0000 1.8994
Os 2.2850 2.2850 0.0000
! ΔE_f: 0.131 eV/atom
! density of states at the Fermi level: 10.0 states/eV/f.u.
! electronic total energy: -10.320 eV per atom
! crystal system: tetragonal
! spin magnetization: 10.4 μB/f.u.

---

! PBE LiPuOsRu, relaxed; values from VASP
&SYSTEM
  ibrav = 0, nat = 4, ntyp = 4
/
ATOMIC_SPECIES
Li 6.94 Li.upf
Pu 244.00 Pu.upf
Os 190.23 Os.upf
Ru 101.07 Ru.upf
CELL_PARAMETERS angstrom
0.0000 3.1596 3.1596
3.1596 0.0000 3.1596
3.1596 3.1596 0.0000
ATOMIC_POSITIONS angstrom
Li 0.0000 0.0000 0.0000
Pu 3.1596 3.1596 3.1596
Os 1.5798 1.5798 1.5798
Ru 4.7394 4.7394 4.7394
! ΔE_f: 0.053 eV/atom
! density of states at the Fermi level: 4.4 states/eV/f.u.
! electronic total energy: -9.135 eV per atom
! crystal system: cubic
! spin magnetization: 3.3 μB/f.u.

---

! PBE LiPuScOs, relaxed; values from VASP
&SYSTEM
  ibrav = 0, nat = 4, ntyp = 4
/
ATOMIC_SPECIES
Li 6.94 Li.upf
Pu 244.00 Pu.upf
Sc 44.96 Sc.upf
Os 190.23 Os.upf
CELL_PARAMETERS angstrom
0.0000 3.3464 3.3464
3.3464 0.0000 3.3464
3.3464 3.3464 0.0000
ATOMIC_POSITIONS angstrom
Li 0.0000 0.0000 0.0000
Pu 1.6732 1.6732 1.6732
Sc 5.0196 5.0196 5.0196
Os 3.3464 3.3464 3.3464
! ΔE_f: -0.117 eV/atom
! density of states at the Fermi level: 8.0 states/eV/f.u.
! electronic total energy: -8.568 eV per atom
! crystal system: cubic
! spin magnetization: 5.5 μB/f.u.

---

! PBE LiPuSiOs, relaxed; values from VASP
&SYSTEM
  ibrav = 0, nat = 4, ntyp = 4
/
ATOMIC_SPECIES
Li 6.94 Li.upf
Pu 244.00 Pu.upf
Si 28.09 Si.upf
Os 190.23 Os.upf
CELL_PARAMETERS angstrom
0.0000 3.1978 3.1978
3.1978 0.0000 3.1978
3.1978 3.1978 0.0000
ATOMIC_POSITIONS angstrom
Li 0.0000 0.0000 0.0000
Pu 4.7966 4.7966 4.7966
Si 1.5989 1.5989 1.5989
Os 3.1978 3.1978 3.1978
! E_form (uncorrected): -0.06 eV per atom
! density of states at the Fermi level: 9.6 states/eV/f.u.
! electronic total energy: -8.285 eV per atom
! crystal system: cubic
! spin magnetization: 5.0 μB/f.u.